# 1
Density functional theory data (PBE) for Cs2KCd2H7 after structural relaxation.

a b c (Å): 4.2785 4.2785 11.8963
angles (deg): 100.29 100.29 90.00
Closest atoms and distances in Å follow each position.
Element x y z (fractional)
Cs  0.1798  0.1798  0.3617  9 H 3.03-3.36
Cs  0.8202  0.8202  0.6383  9 H 3.03-3.36
K  0.0000  0.0000  0.0000  12 H 2.92-3.03
Cd  0.4135  0.4135  0.8262  6 H 1.99-2.14
Cd  0.5865  0.5865  0.1738  6 H 1.99-2.14
H  0.0861  0.5861  0.1731  2 Cd 2.14
H  0.3277  0.3277  0.6534  1 Cd 1.99
H  0.4139  0.9139  0.8269  2 Cd 2.14
H  0.5000  0.5000  0.0000  2 Cd 2.00
H  0.5861  0.0861  0.1731  2 Cd 2.14
H  0.6723  0.6723  0.3466  1 Cd 1.99
H  0.9139  0.4139  0.8269  2 Cd 2.14

Output
energy	-2.40	eV/atom

# 2
Density functional theory data (PBE) for Er2BiPd6 after structural relaxation.

a b c (Å): 8.0395 8.0395 8.0395
angles (deg): 155.19 120.99 65.01
Closest atoms and distances in Å follow each position.
Element x y z (fractional)
Er  0.1671  0.1671  0.0000  8 Pd 2.81-2.84
Er  0.8329  0.8329  0.0000  8 Pd 2.81-2.84
Bi  0.5000  0.5000  0.0000  8 Pd 2.84-2.88
Pd  0.1157  0.3337  0.7820  3 Er 2.82-2.84, 1 Bi 2.84, 4 Pd 2.90
Pd  0.2095  0.0000  0.2095  2 Er 2.81, 2 Bi 2.88, 4 Pd 2.90
Pd  0.4483  0.6663  0.7820  3 Er 2.82-2.84, 1 Bi 2.84, 4 Pd 2.90
Pd  0.5517  0.3337  0.2180  3 Er 2.82-2.84, 1 Bi 2.84, 4 Pd 2.90
Pd  0.7905  0.0000  0.7905  2 Er 2.81, 2 Bi 2.88, 4 Pd 2.90
Pd  0.8843  0.6663  0.2180  3 Er 2.82-2.84, 1 Bi 2.84, 4 Pd 2.90

Output
D(E_F)	4.1	states/eV/f.u.
energy	-5.39	eV/atom
energy of formation from the pure elements	-0.479	eV/atom

Copy entry 1 word for word.
Density functional theory data (PBE) for Cs2KCd2H7 after structural relaxation.

a b c (Å): 4.2785 4.2785 11.8963
angles (deg): 100.29 100.29 90.00
Closest atoms and distances in Å follow each position.
Element x y z (fractional)
Cs  0.1798  0.1798  0.3617  9 H 3.03-3.36
Cs  0.8202  0.8202  0.6383  9 H 3.03-3.36
K  0.0000  0.0000  0.0000  12 H 2.92-3.03
Cd  0.4135  0.4135  0.8262  6 H 1.99-2.14
Cd  0.5865  0.5865  0.1738  6 H 1.99-2.14
H  0.0861  0.5861  0.1731  2 Cd 2.14
H  0.3277  0.3277  0.6534  1 Cd 1.99
H  0.4139  0.9139  0.8269  2 Cd 2.14
H  0.5000  0.5000  0.0000  2 Cd 2.00
H  0.5861  0.0861  0.1731  2 Cd 2.14
H  0.6723  0.6723  0.3466  1 Cd 1.99
H  0.9139  0.4139  0.8269  2 Cd 2.14

Output
energy	-2.40	eV/atom